Arrangement P

MgSn2Pd5 | PBE-GGA | relaxed

## Properties
DOS(E_F)   7.97 states/eV per cell
Symmetry   No. 63

Lattice parameters (Å, degrees): 2.958 7.889 13.927 90.00 90.00 100.81
Sites, in units of the cell vectors:
Pd  0.955  0.910  0.591
Pd  0.045  0.090  0.409
Pd  0.045  0.090  0.091
Pd  0.955  0.910  0.909
Pd  0.218  0.437  0.750
Pd  0.225  0.450  0.415
Pd  0.775  0.550  0.915
Pd  0.782  0.563  0.250
Pd  0.225  0.450  0.085
Pd  0.775  0.550  0.585
Mg  0.133  0.267  0.250
Mg  0.867  0.733  0.750
Sn  0.125  0.250  0.916
Sn  0.875  0.750  0.416
Sn  0.875  0.750  0.084
Sn  0.125  0.250  0.584

***

Arrangement Q

MgSn2Pd5 | PBE-GGA | relaxed

## Properties
DOS(E_F)   4.20 states/eV per cell
Symmetry   No. 139

Lattice parameters (Å, degrees): 4.790 4.790 6.880 110.37 110.37 90.00
Sites, in units of the cell vectors:
Pd  0.625  0.125  0.251
Pd  0.375  0.875  0.749
Pd  0.875  0.375  0.749
Pd  0.500  0.500  0.000
Pd  0.125  0.625  0.251
Sn  0.739  0.739  0.478
Sn  0.261  0.261  0.522
Mg  0.000  0.000  0.000

***

Most stable structure among those shown: arrangement Q.